Entry i
A plane-wave DFT calculation with GGA+U was carried out for a relaxed CoHg3O crystal.

Unit cell a=4.7744 b=4.7744 c=4.7744 alpha=90.00 beta=90.00 gamma=90.00
Fractional positions:
Co (0.0000, 0.0000, 0.0000)
Hg (0.0000, 0.5000, 0.5000)
Hg (0.5000, 0.0000, 0.5000)
Hg (0.5000, 0.5000, 0.0000)
O (0.5000, 0.5000, 0.5000)



Entry ii
A plane-wave DFT calculation with GGA+U was carried out for a relaxed CoHg3O crystal.

Unit cell a=5.0741 b=5.0741 c=5.0741 alpha=90.00 beta=90.00 gamma=90.00
Fractional positions:
Co (0.0000, 0.0000, 0.0000)
Hg (0.0000, 0.0000, 0.5000)
Hg (0.0000, 0.5000, 0.0000)
Hg (0.5000, 0.0000, 0.0000)
O (0.5000, 0.5000, 0.5000)



Decreasing stability: entry i, entry ii